VASP calculation (PBE) on ZnAg3 after structural relaxation.

It has space group Pmm2 (No. 25), with a = 2.9622 Å, b = 4.6738 Å, c = 4.9410 Å, α = 90.00°, β = 90.00° and γ = 90.00°. The asymmetric unit holds Zn at (0.0000, 0.0000, 0.0000), Ag at (0.0000, 0.5000, 0.6590), Ag at (0.5000, 0.0000, 0.4996) and Ag at (0.5000, 0.5000, 0.1506).

As for the total magnetic moment: 0.00 μB/f.u. The crystal system is orthorhombic.

---

VASP calculation (PBE) on Zn5Ag2 after structural relaxation.

It has space group R-3m (No. 166, hexagonal axes), with a = 4.5268 Å, b = 4.5268 Å, c = 18.8193 Å, α = 90.00°, β = 90.00° and γ = 120.00°. The asymmetric unit holds Zn at (0.0000, 0.0000, 0.0000), Zn at (0.0000, 0.0000, 0.2856), Zn at (0.0000, 0.0000, 0.4267) and Ag at (0.0000, 0.0000, 0.1391).

As for the total magnetic moment: 0.00 μB/f.u. The polymorph energy (0 for the lowest one) comes out at 54.0 meV per atom. The crystal system is trigonal.

---

VASP calculation (PBE) on ZnAg4 after structural relaxation.

It has space group P2_1/c (No. 14), with a = 4.7141 Å, b = 4.8661 Å, c = 9.1264 Å, α = 90.00°, β = 107.41° and γ = 90.00°. The asymmetric unit holds Zn at (0.0000, 0.0000, 0.0000), Ag at (0.1700, 0.2501, 0.2764) and Ag at (0.4461, 0.7481, 0.9110).

As for the total magnetic moment: 0.00 μB/f.u. The polymorph energy (0 for the lowest one) comes out at 159.0 meV per atom. The crystal system is monoclinic.

---

Number 1: ΔE_f 0.00 eV per atom, E -2.46 eV per atom. Number 2: ΔE_f 0.04 eV per atom, E -1.68 eV per atom. Number 3: ΔE_f 0.15 eV per atom, E -2.38 eV per atom.